This record from Alexandria describes a relaxed BeAsRhBr2 crystal. The functional is PBE-GGA.

Geometry as POSCAR:
```
BeAsRhBr2
1.0
-1.1678 4.8144 1.6663
-4.4241 -0.1106 -2.7810
-2.2493 -1.8090 3.6502
As Br Rh Be
1 2 1 1
Direct
0.0000 0.0000 0.5000
0.5000 0.0000 0.0000
0.0000 0.5000 0.0000
0.0000 0.0000 0.0000
0.5000 0.5000 0.5000
```

Calculated values
The formation energy without anion corrections comes out at 0.6461 eV/atom. The mass density is 4.5 g/cm³. Its excess energy over the best structure of this formula in the dataset is 0 meV per atom.